[1]
{
  "formula": "SbSe2",
  "functional": "meta-GGA SCAN",
  "state": "PBEsol geometry",
  "sg": "Cm (8)",
  "lattice_angstrom": [[-3.7989, -1.2307, -1.0188], [3.8692, -2.4913, -3.0827], [-0.1716, -4.5841, 6.1772]],
  "species": ["Se", "Se", "Se", "Se", "Sb", "Sb"],
  "frac_coords": [[0.6266, 0.2533, 0.2898], [0.5836, 0.1672, 0.7516], [0.3505, 0.7010, 0.0236], [0.8589, 0.7178, 0.4214], [0.0947, 0.1893, 0.0228], [0.3190, 0.6380, 0.6575]]
}

=====

[2]
{
  "formula": "Sb2Se3",
  "functional": "meta-GGA SCAN",
  "state": "PBEsol geometry",
  "sg": "Pnma (62)",
  "lattice_angstrom": [[-1.2372, -3.6613, 0.5384], [2.0817, -2.3743, -11.3631], [10.9582, -3.3062, 2.6983]],
  "species": ["Se", "Se", "Se", "Se", "Se", "Se", "Se", "Se", "Se", "Se", "Se", "Se", "Sb", "Sb", "Sb", "Sb", "Sb", "Sb", "Sb", "Sb"],
  "frac_coords": [[0.2500, 0.1004, 0.5462], [0.7500, 0.0271, 0.1086], [0.2500, 0.7462, 0.2157], [0.2500, 0.4729, 0.6086], [0.2500, 0.6004, 0.9538], [0.2500, 0.2462, 0.2843], [0.2500, 0.9729, 0.8914], [0.7500, 0.2538, 0.7843], [0.7500, 0.7538, 0.7157], [0.7500, 0.8996, 0.4538], [0.7500, 0.5271, 0.3914], [0.7500, 0.3996, 0.0462], [0.2500, 0.2421, 0.0616], [0.7500, 0.7579, 0.9384], [0.7500, 0.9765, 0.7321], [0.7500, 0.2579, 0.5616], [0.2500, 0.0235, 0.2679], [0.7500, 0.4765, 0.7679], [0.2500, 0.5235, 0.2321], [0.2500, 0.7421, 0.4384]]
}

=====

[3]
{
  "formula": "SbSe5",
  "functional": "meta-GGA SCAN",
  "state": "PBEsol geometry",
  "sg": "P-62m (189)",
  "lattice_angstrom": [[3.9474, 0.0000, 0.0000], [0.0000, 6.2135, 0.0000], [0.0000, -3.1067, 5.3810]],
  "species": ["Sb", "Se", "Se", "Se", "Se", "Se"],
  "frac_coords": [[0.5000, 0.0000, 0.0000], [0.0000, 0.6578, 0.0000], [0.5000, 0.6667, 0.3333], [0.0000, 0.3422, 0.3422], [0.5000, 0.3333, 0.6667], [0.0000, 0.0000, 0.6578]]
}

=====

[4]
{
  "formula": "Sb2Se",
  "functional": "meta-GGA SCAN",
  "state": "PBEsol geometry",
  "sg": "C2/m (12)",
  "lattice_angstrom": [[4.4665, 0.0000, 0.0000], [-2.2333, 3.7460, 0.2591], [0.0000, -0.8278, 9.3889]],
  "species": ["Se", "Se", "Sb", "Sb", "Sb", "Sb"],
  "frac_coords": [[0.9727, 0.9453, 0.5667], [0.3053, 0.6106, 0.8779], [0.6388, 0.2777, 0.2222], [0.6390, 0.2781, 0.7222], [0.3059, 0.6119, 0.3975], [0.9716, 0.9431, 0.0468]]
}

=====

[5]
{
  "formula": "Sb5Se",
  "functional": "meta-GGA SCAN",
  "state": "PBEsol geometry",
  "sg": "F-43m (216)",
  "e_above_lowest_polymorph_mev_per_atom": 516,
  "lattice_angstrom": [[6.0984, 0.0000, 0.0000], [3.0492, 5.2814, 0.0000], [3.0492, 1.7605, 4.9793]],
  "species": ["Sb", "Sb", "Sb", "Sb", "Sb", "Se"],
  "frac_coords": [[0.6265, 0.1204, 0.6265], [0.2500, 0.2500, 0.2500], [0.6265, 0.6265, 0.6265], [0.1204, 0.6265, 0.6265], [0.6265, 0.6265, 0.1204], [0.0000, 0.0000, 0.0000]]
}

=====

[6]
{
  "formula": "Sb5Se",
  "functional": "meta-GGA SCAN",
  "state": "PBEsol geometry",
  "sg": "Cm (8)",
  "e_above_lowest_polymorph_mev_per_atom": 0,
  "lattice_angstrom": [[4.3404, 0.0000, 0.0000], [0.0000, 6.0649, 0.0149], [-2.1702, -3.0086, 6.3141]],
  "species": ["Sb", "Sb", "Sb", "Sb", "Sb", "Se"],
  "frac_coords": [[0.6941, 0.2256, 0.3881], [0.0315, 0.5642, 0.0631], [0.3650, 0.3870, 0.7299], [0.3569, 0.8907, 0.7138], [0.0244, 0.0457, 0.0488], [0.6948, 0.7201, 0.3897]]
}

=====

[7]
{
  "formula": "Sb2Se3",
  "functional": "meta-GGA SCAN",
  "state": "PBEsol geometry",
  "sg": "Fdd2 (43)",
  "lattice_angstrom": [[7.1351, -0.1826, 0.0000], [-3.5341, 6.2010, 0.0000], [-1.8005, -3.0092, 6.3988]],
  "species": ["Sb", "Sb", "Sb", "Sb", "Se", "Se", "Se", "Se", "Se", "Se"],
  "frac_coords": [[0.3356, 0.5986, 0.1083], [0.4773, 0.2403, 0.3917], [0.4903, 0.2273, 0.8917], [0.8486, 0.0856, 0.6083], [0.3396, 0.8396, 0.5000], [0.7031, 0.0998, 0.2184], [0.7348, 0.6314, 0.2816], [0.0896, 0.0896, 0.0000], [0.3498, 0.4531, 0.7184], [0.8814, 0.4848, 0.7816]]
}

=====

[8]
{
  "formula": "SbSe3",
  "functional": "meta-GGA SCAN",
  "state": "PBEsol geometry",
  "sg": "P6_3/mmc (194)",
  "e_above_lowest_polymorph_mev_per_atom": 55,
  "lattice_angstrom": [[3.8619, 0.0000, 0.0000], [0.0000, 7.4637, 0.0000], [0.0000, -3.7318, 6.4637]],
  "species": ["Se", "Se", "Se", "Se", "Se", "Se", "Sb", "Sb"],
  "frac_coords": [[0.2500, 0.3415, 0.1708], [0.7500, 0.6585, 0.8292], [0.2500, 0.8292, 0.1708], [0.7500, 0.1708, 0.3415], [0.2500, 0.8292, 0.6585], [0.7500, 0.1708, 0.8292], [0.2500, 0.3333, 0.6667], [0.7500, 0.6667, 0.3333]]
}

=====

[9]
{
  "formula": "SbSe2",
  "functional": "meta-GGA SCAN",
  "state": "PBEsol geometry",
  "sg": "Cmcm (63)",
  "lattice_angstrom": [[-1.8508, 3.1457, 1.4905], [-4.8936, -2.1447, -1.5500], [0.4009, -4.7468, 5.3021]],
  "species": ["Sb", "Sb", "Se", "Se", "Se", "Se"],
  "frac_coords": [[0.8386, 0.7500, 0.6771], [0.1614, 0.2500, 0.3229], [0.1818, 0.7500, 0.3637], [0.4860, 0.7500, 0.9720], [0.5140, 0.2500, 0.0280], [0.8182, 0.2500, 0.6363]]
}

=====

[10]
{
  "formula": "Si2SbSe",
  "functional": "meta-GGA SCAN",
  "state": "PBEsol geometry",
  "sg": "Cmmm (65)",
  "e_above_lowest_polymorph_mev_per_atom": 0,
  "lattice_angstrom": [[-1.7550, 3.3648, -0.9117], [-2.4066, -0.1631, 4.0307], [4.0233, 2.3034, 0.7565]],
  "species": ["Se", "Si", "Si", "Sb"],
  "frac_coords": [[0.5000, 0.0000, 0.0000], [0.0000, 0.7512, 0.2488], [0.0000, 0.2488, 0.7512], [0.5000, 0.5000, 0.5000]]
}

=====

[11]
{
  "formula": "SiSbSe",
  "functional": "meta-GGA SCAN",
  "state": "PBEsol geometry",
  "sg": "F-43m (216)",
  "e_above_lowest_polymorph_mev_per_atom": 627,
  "lattice_angstrom": [[4.6946, 0.0000, 0.0000], [2.3473, 4.0657, 0.0000], [2.3473, 1.3552, 3.8332]],
  "species": ["Sb", "Si", "Se"],
  "frac_coords": [[0.5000, 0.5000, 0.5000], [0.0000, 0.0000, 0.0000], [0.2500, 0.2500, 0.2500]]
}

=====

[12]
{
  "formula": "Si2SbSe",
  "functional": "meta-GGA SCAN",
  "state": "PBEsol geometry",
  "sg": "I-4m2 (119)",
  "e_above_lowest_polymorph_mev_per_atom": 378,
  "lattice_angstrom": [[-2.6500, -2.3602, 1.5713], [-0.9610, -1.2757, -3.5370], [5.4728, -2.0373, 1.3769]],
  "species": ["Sb", "Se", "Si", "Si"],
  "frac_coords": [[0.5000, 0.5000, 0.0000], [0.2500, 0.7500, 0.5000], [0.0000, 0.0000, 0.0000], [0.7500, 0.2500, 0.5000]]
}

=====

[13]
{
  "formula": "SiSbSe2",
  "functional": "meta-GGA SCAN",
  "state": "PBEsol geometry",
  "sg": "Fmmm (69)",
  "e_above_lowest_polymorph_mev_per_atom": 128,
  "lattice_angstrom": [[4.8114, -0.0216, 0.0000], [-1.5173, 4.5659, 0.0000], [-1.6470, -2.2722, 4.1075]],
  "species": ["Se", "Se", "Si", "Sb"],
  "frac_coords": [[0.0000, 0.5000, 0.5000], [0.5000, 0.0000, 0.5000], [0.0000, 0.0000, 0.0000], [0.5000, 0.5000, 0.0000]]
}

=====

[14]
{
  "formula": "SiSb4Se",
  "functional": "meta-GGA SCAN",
  "state": "PBEsol geometry",
  "sg": "F-43m (216)",
  "lattice_angstrom": [[-5.6133, 2.2030, -0.3786], [-4.7318, -3.7561, 0.0882], [-3.6400, -0.1609, 4.8198]],
  "species": ["Sb", "Sb", "Sb", "Sb", "Si", "Se"],
  "frac_coords": [[0.3763, 0.3763, 0.3763], [0.3763, 0.3763, 0.8712], [0.8712, 0.3763, 0.3763], [0.3763, 0.8712, 0.3763], [0.0000, 0.0000, 0.0000], [0.7500, 0.7500, 0.7500]]
}

=====

[15]
{
  "formula": "SiSbSe2",
  "functional": "meta-GGA SCAN",
  "state": "PBEsol geometry",
  "sg": "R3m (160)",
  "e_above_lowest_polymorph_mev_per_atom": 0,
  "lattice_angstrom": [[3.7251, 0.0000, 0.0000], [1.8625, 3.2260, 0.0000], [1.8625, 1.0753, 7.4069]],
  "species": ["Si", "Se", "Se", "Sb"],
  "frac_coords": [[0.4947, 0.4947, 0.5158], [0.7673, 0.7673, 0.6982], [0.9918, 0.9918, 0.0245], [0.2462, 0.2462, 0.2615]]
}

=====

[16]
{
  "formula": "Si2SbSe",
  "functional": "meta-GGA SCAN",
  "state": "PBEsol geometry",
  "sg": "Pmmm (47)",
  "e_above_lowest_polymorph_mev_per_atom": 364,
  "lattice_angstrom": [[-2.5087, -2.1915, -0.3917], [0.5913, 0.1670, -4.7220], [3.1473, -3.6503, 0.2647]],
  "species": ["Si", "Si", "Sb", "Se"],
  "frac_coords": [[0.0000, 0.0000, 0.0000], [0.5000, 0.5000, 0.0000], [0.5000, 0.0000, 0.5000], [0.0000, 0.5000, 0.5000]]
}

=====

[17]
{
  "formula": "SiSb3Se",
  "functional": "meta-GGA SCAN",
  "state": "PBEsol geometry",
  "sg": "Pm-3m (221)",
  "lattice_angstrom": [[5.2843, 0.0000, 0.0000], [0.0000, 5.2843, 0.0000], [0.0000, 0.0000, 5.2843]],
  "species": ["Sb", "Sb", "Sb", "Si", "Se"],
  "frac_coords": [[0.0000, 0.0000, 0.5000], [0.5000, 0.0000, 0.0000], [0.0000, 0.5000, 0.0000], [0.5000, 0.5000, 0.5000], [0.0000, 0.0000, 0.0000]]
}

=====

[18]
{
  "formula": "SiSbSe2",
  "functional": "meta-GGA SCAN",
  "state": "PBEsol geometry",
  "sg": "I-42d (122)",
  "e_above_lowest_polymorph_mev_per_atom": 132,
  "lattice_angstrom": [[6.1628, -0.0934, 0.0000], [-2.3365, 5.7035, 0.0000], [-1.9132, -2.8051, 5.1440]],
  "species": ["Se", "Se", "Se", "Se", "Si", "Si", "Sb", "Sb"],
  "frac_coords": [[0.4117, 0.8750, 0.0367], [0.8383, 0.3750, 0.9633], [0.6250, 0.5883, 0.4633], [0.1250, 0.1617, 0.5367], [0.7500, 0.2500, 0.5000], [0.5000, 0.5000, 0.0000], [0.0000, 0.0000, 0.0000], [0.2500, 0.7500, 0.5000]]
}

=====

[19]
{
  "formula": "SiSbSe",
  "functional": "meta-GGA SCAN",
  "state": "PBEsol geometry",
  "sg": "P3m1 (156)",
  "e_above_lowest_polymorph_mev_per_atom": 0,
  "lattice_angstrom": [[3.9189, 0.0000, 0.0000], [-1.9595, 3.3939, 0.0000], [0.0000, 0.0000, 4.9069]],
  "species": ["Sb", "Si", "Se"],
  "frac_coords": [[0.0000, 0.0000, 0.0353], [0.3333, 0.6667, 0.3309], [0.6667, 0.3333, 0.6338]]
}

=====

[20]
{
  "formula": "SnSb3Se",
  "functional": "meta-GGA SCAN",
  "state": "PBEsol geometry",
  "sg": "Pm-3m (221)",
  "lattice_angstrom": [[-4.9659, 1.5778, -1.1138], [0.9861, -0.5707, -5.2050], [-1.6606, -5.0572, 0.2398]],
  "species": ["Sb", "Sb", "Sb", "Se", "Sn"],
  "frac_coords": [[0.0000, 0.0000, 0.5000], [0.5000, 0.0000, 0.0000], [0.0000, 0.5000, 0.0000], [0.0000, 0.0000, 0.0000], [0.5000, 0.5000, 0.5000]]
}

=====

no.,uncorrected formation energy (eV per formula unit),total magnetization (μB per cell)
1,-0.352,0.000
2,-0.787,0.000
3,1.888,0.000
4,-0.030,0.000
5,3.127,0.000
6,0.032,0.000
7,-0.780,0.000
8,0.881,0.000
9,-0.349,0.000
10,1.345,0.000
11,2.515,0.000
12,2.856,0.000
13,0.901,0.000
14,4.497,0.000
15,0.390,0.000
16,2.802,0.000
17,5.591,0.000
18,0.916,0.000
19,0.636,0.000
20,3.430,0.000